A plane-wave DFT calculation with SCAN was carried out for a PBEsol-optimized structure of Ba2AsI.

Summary:
For the total magnetization, the calculation gives 0.000 μB/atom. The calculation puts the formation energy (no corrections) at -1441 meV per atom.

Lattice parameters (Å, degrees): 5.7804 5.7804 5.7804 60.00 60.00 60.00
Positions (direct):
Ba (0.2500, 0.2500, 0.2500)
Ba (0.7500, 0.7500, 0.7500)
As (0.0000, 0.0000, 0.0000)
I (0.5000, 0.5000, 0.5000)



A plane-wave DFT calculation with SCAN was carried out for a PBEsol-optimized structure of BaAsIO2.

Summary:
For the total magnetization, the calculation gives 0.304 μB/atom. The calculation puts the formation energy (no corrections) at -90 meV per atom.

Lattice parameters (Å, degrees): 4.4575 4.4575 7.2375 90.00 90.00 90.00
Positions (direct):
Ba (0.0000, 0.0000, 0.0000)
As (0.5000, 0.5000, 0.5000)
I (0.0000, 0.0000, 0.5000)
O (0.0000, 0.5000, 0.0000)
O (0.5000, 0.0000, 0.0000)



A plane-wave DFT calculation with SCAN was carried out for a PBEsol-optimized structure of BaSbAs2I.

Summary:
For the total magnetization, the calculation gives 0.402 μB/atom. The calculation puts the formation energy (no corrections) at 715 meV per atom.

Lattice parameters (Å, degrees): 6.2151 6.2151 6.3059 90.00 90.00 90.00
Positions (direct):
Ba (0.0000, 0.0000, 0.0000)
Sb (0.5000, 0.5000, 0.5000)
As (0.0000, 0.5000, 0.0000)
As (0.5000, 0.0000, 0.0000)
I (0.0000, 0.0000, 0.5000)



A plane-wave DFT calculation with SCAN was carried out for a PBEsol-optimized structure of BaAsSe2I.

Summary:
For the total magnetization, the calculation gives 0.000 μB/atom. The calculation puts the formation energy (no corrections) at -256 meV per atom.

Lattice parameters (Å, degrees): 5.4463 5.4463 5.3023 90.00 90.00 90.00
Positions (direct):
Ba (0.0000, 0.0000, 0.0000)
As (0.5000, 0.5000, 0.0000)
Se (0.0000, 0.5000, 0.5000)
Se (0.5000, 0.0000, 0.5000)
I (0.5000, 0.5000, 0.5000)



A plane-wave DFT calculation with SCAN was carried out for a PBEsol-optimized structure of BaAsSe2I.

Summary:
For the total magnetization, the calculation gives 1.203 μB/atom. The calculation puts the formation energy (no corrections) at 465 meV per atom.

Lattice parameters (Å, degrees): 6.1067 6.1067 6.3521 90.00 90.00 90.00
Positions (direct):
Ba (0.0000, 0.0000, 0.0000)
As (0.0000, 0.0000, 0.5000)
Se (0.0000, 0.5000, 0.0000)
Se (0.5000, 0.0000, 0.0000)
I (0.5000, 0.5000, 0.5000)



A plane-wave DFT calculation with SCAN was carried out for a PBEsol-optimized structure of Ba2InAs.

Summary:
As for the formation energy: -851.5 meV per atom. For the total magnetization, the calculation gives 0.000 μB/atom.

Lattice parameters (Å, degrees): 4.4687 6.6438 6.6438 44.72 90.00 90.00
Positions (direct):
Ba (0.0000, 0.0000, 0.0000)
Ba (0.5000, 0.2815, 0.2815)
In (0.0000, 0.7063, 0.7063)
As (0.5000, 0.5635, 0.5635)